# Tl2GeP2, relaxed, DFT GGA-PBEsol
# - final energy (eV for the cell shown) = -39.1
# - energy of formation from the pure elements (eV per atom) = 0.449
# - size of the total moment (μB/cell) = 0.00
data_Tl2GeP2
_cell_length_a 4.101
_cell_length_b 4.101
_cell_length_c 14.091
_cell_angle_alpha 90.00
_cell_angle_beta 90.00
_cell_angle_gamma 90.00
_symmetry_space_group_name_H-M 'I 4/m m m'
_symmetry_Int_Tables_number 139
_symmetry_space_group_name_Hall '-I 4 2'
loop_
_atom_site_label
_atom_site_type_symbol
_atom_site_fract_x
_atom_site_fract_y
_atom_site_fract_z
_atom_site_occupancy
Tl1 Tl 0.000 0.500 0.250 1
Ge1 Ge 0.000 0.000 0.000 1
P1 P 0.000 0.000 0.425 1